1.
A plane-wave DFT calculation with PBE was carried out for a geometry-optimized HfOsSe3 structure.

Total moment: 0.2 μB per cell
Energy relative to the elements, uncorrected: 0.59 eV/atom
D(E_F): 6.84 states/eV per cell
Excess energy over the best structure of this formula in the dataset: 0.000 eV per atom

CIF file:
```
data_HfOsSe3
_symmetry_space_group_name_H-M 'P m -3 m'
_symmetry_Int_Tables_number 221
_symmetry_space_group_name_Hall '-P 4 2 3'
_cell_length_a 4.8363
_cell_length_b 4.8363
_cell_length_c 4.8363
_cell_angle_alpha 90.00
_cell_angle_beta 90.00
_cell_angle_gamma 90.00
loop_
_atom_site_label
_atom_site_type_symbol
_atom_site_fract_x
_atom_site_fract_y
_atom_site_fract_z
Hf1 Hf 0.0000 0.0000 0.0000
Os1 Os 0.5000 0.5000 0.5000
Se1 Se 0.0000 0.5000 0.5000
```

2.
A plane-wave DFT calculation with PBE was carried out for a geometry-optimized Y5Tl3Cd structure.

Total moment: 0.0 μB per cell
D(E_F): 12.56 states/eV per cell
Formation enthalpy at 0 K: -0.38 eV per atom

CIF file:
```
data_Y5Tl3Cd
_symmetry_space_group_name_H-M 'P 63/m c m'
_symmetry_Int_Tables_number 193
_symmetry_space_group_name_Hall '-P 6c 2'
_cell_length_a 9.2794
_cell_length_b 9.2794
_cell_length_c 6.7680
_cell_angle_alpha 90.00
_cell_angle_beta 90.00
_cell_angle_gamma 120.00
loop_
_atom_site_label
_atom_site_type_symbol
_atom_site_fract_x
_atom_site_fract_y
_atom_site_fract_z
Y1 Y 0.0000 0.2853 0.2500
Y2 Y 0.3333 0.6667 0.0000
Tl1 Tl 0.0000 0.3753 0.7500
Cd1 Cd 0.0000 0.0000 0.0000
```

3.
A plane-wave DFT calculation with PBE was carried out for a geometry-optimized Ba3Li4Zn2 structure.

Total moment: 0.0 μB per cell
D(E_F): 14.49 states/eV per cell
Formation enthalpy at 0 K: -0.05 eV per atom

CIF file:
```
data_Ba3Li4Zn2
_symmetry_space_group_name_H-M 'C 1 2/m 1'
_symmetry_Int_Tables_number 12
_symmetry_space_group_name_Hall '-C 2y'
_cell_length_a 12.1169
_cell_length_b 5.1327
_cell_length_c 9.8520
_cell_angle_alpha 90.00
_cell_angle_beta 113.16
_cell_angle_gamma 90.00
loop_
_atom_site_label
_atom_site_type_symbol
_atom_site_fract_x
_atom_site_fract_y
_atom_site_fract_z
Ba1 Ba 0.0000 0.0000 0.0000
Ba2 Ba 0.1120 0.5000 0.3665
Li1 Li 0.1045 0.0000 0.6581
Li2 Li 0.2245 0.5000 0.0535
Zn1 Zn 0.2071 0.5000 0.7587
```

4.
A plane-wave DFT calculation with PBE was carried out for a geometry-optimized AcNdAsI structure.

Total moment: 0.0 μB per cell
Energy relative to the elements, uncorrected: -1.29 eV/atom
D(E_F): 4.66 states/eV per cell

CIF file:
```
data_AcNdAsI
_symmetry_space_group_name_H-M 'R 3 m'
_symmetry_Int_Tables_number 160
_symmetry_space_group_name_Hall 'R 3 -2"'
_cell_length_a 4.3345
_cell_length_b 4.3345
_cell_length_c 24.5745
_cell_angle_alpha 90.00
_cell_angle_beta 90.00
_cell_angle_gamma 120.00
loop_
_atom_site_label
_atom_site_type_symbol
_atom_site_fract_x
_atom_site_fract_y
_atom_site_fract_z
Ac1 Ac 0.0000 0.0000 0.0000
Nd1 Nd 0.0000 0.0000 0.8020
As1 As 0.0000 0.0000 0.4077
I1 I 0.0000 0.0000 0.2286
```

5.
A plane-wave DFT calculation with PBE was carried out for a geometry-optimized PmTmInGa structure.

Total moment: 0.0 μB per cell
D(E_F): 2.29 states/eV per cell
Excess energy over the best structure of this formula in the dataset: 0.000 eV per atom
Formation enthalpy at 0 K: -0.51 eV per atom

CIF file:
```
data_PmTmInGa
_symmetry_space_group_name_H-M 'P 4 m m'
_symmetry_Int_Tables_number 99
_symmetry_space_group_name_Hall 'P 4 -2'
_cell_length_a 3.6535
_cell_length_b 3.6535
_cell_length_c 7.5395
_cell_angle_alpha 90.00
_cell_angle_beta 90.00
_cell_angle_gamma 90.00
loop_
_atom_site_label
_atom_site_type_symbol
_atom_site_fract_x
_atom_site_fract_y
_atom_site_fract_z
Pm1 Pm 0.0000 0.0000 0.0000
Tm1 Tm 0.0000 0.0000 0.4710
In1 In 0.5000 0.5000 0.7224
Ga1 Ga 0.5000 0.5000 0.2508
```

6.
A plane-wave DFT calculation with PBE was carried out for a geometry-optimized Ac2TlAu4 structure.

Total moment: 0.0 μB per cell
D(E_F): 5.82 states/eV per cell
Formation enthalpy at 0 K: -0.57 eV per atom

CIF file:
```
data_Ac2TlAu4
_symmetry_space_group_name_H-M 'I 4/m m m'
_symmetry_Int_Tables_number 139
_symmetry_space_group_name_Hall '-I 4 2'
_cell_length_a 4.4816
_cell_length_b 4.4816
_cell_length_c 19.2049
_cell_angle_alpha 90.00
_cell_angle_beta 90.00
_cell_angle_gamma 90.00
loop_
_atom_site_label
_atom_site_type_symbol
_atom_site_fract_x
_atom_site_fract_y
_atom_site_fract_z
Ac1 Ac 0.0000 0.0000 0.1181
Tl1 Tl 0.0000 0.0000 0.5000
Au1 Au 0.0000 0.0000 0.3462
Au2 Au 0.0000 0.5000 0.2500
```

7.
A plane-wave DFT calculation with PBE was carried out for a geometry-optimized Co2ReTe structure.

Total moment: 2.3 μB per cell
Energy relative to the elements, uncorrected: 0.53 eV/atom
D(E_F): 5.16 states/eV per cell

CIF file:
```
data_Co2ReTe
_symmetry_space_group_name_H-M 'P 4/m m m'
_symmetry_Int_Tables_number 123
_symmetry_space_group_name_Hall '-P 4 2'
_cell_length_a 3.9261
_cell_length_b 3.9261
_cell_length_c 3.6585
_cell_angle_alpha 90.00
_cell_angle_beta 90.00
_cell_angle_gamma 90.00
loop_
_atom_site_label
_atom_site_type_symbol
_atom_site_fract_x
_atom_site_fract_y
_atom_site_fract_z
Co1 Co 0.0000 0.5000 0.0000
Re1 Re 0.0000 0.0000 0.5000
Te1 Te 0.5000 0.5000 0.5000
```

8.
A plane-wave DFT calculation with PBE was carried out for a geometry-optimized YMg2In structure.

Total moment: 0.0 μB per cell
D(E_F): 1.97 states/eV per cell
Formation enthalpy at 0 K: -0.23 eV per atom

CIF file:
```
data_YMg2In
_symmetry_space_group_name_H-M 'C 1 m 1'
_symmetry_Int_Tables_number 8
_symmetry_space_group_name_Hall 'C -2y'
_cell_length_a 8.9499
_cell_length_b 5.1586
_cell_length_c 5.1562
_cell_angle_alpha 90.00
_cell_angle_beta 125.06
_cell_angle_gamma 90.00
loop_
_atom_site_label
_atom_site_type_symbol
_atom_site_fract_x
_atom_site_fract_y
_atom_site_fract_z
Y1 Y 0.0000 0.0000 0.0000
Mg1 Mg 0.0001 0.5000 0.5003
Mg2 Mg 0.2501 0.0000 0.7497
In1 In 0.2499 0.5000 0.2504
```

9.
A plane-wave DFT calculation with PBE was carried out for a geometry-optimized Gd2NiIr structure.

Total moment: 14.1 μB per cell
D(E_F): 1.86 states/eV per cell
Excess energy over the best structure of this formula in the dataset: 0.015 eV per atom
Formation enthalpy at 0 K: -0.57 eV per atom

CIF file:
```
data_Gd2NiIr
_symmetry_space_group_name_H-M 'P 4/m m m'
_symmetry_Int_Tables_number 123
_symmetry_space_group_name_Hall '-P 4 2'
_cell_length_a 4.8246
_cell_length_b 4.8246
_cell_length_c 3.5031
_cell_angle_alpha 90.00
_cell_angle_beta 90.00
_cell_angle_gamma 90.00
loop_
_atom_site_label
_atom_site_type_symbol
_atom_site_fract_x
_atom_site_fract_y
_atom_site_fract_z
Gd1 Gd 0.0000 0.5000 0.0000
Ni1 Ni 0.0000 0.0000 0.5000
Ir1 Ir 0.5000 0.5000 0.5000
```

10.
A plane-wave DFT calculation with PBE was carried out for a geometry-optimized Li4Cd4Pb structure.

Total moment: 0.0 μB per cell
D(E_F): 9.34 states/eV per cell
Excess energy over the best structure of this formula in the dataset: 0.077 eV per atom
Formation enthalpy at 0 K: -0.09 eV per atom

CIF file:
```
data_Li4Cd4Pb
_symmetry_space_group_name_H-M 'P 42/n m c'
_symmetry_Int_Tables_number 137
_cell_length_a 6.3070
_cell_length_b 6.3070
_cell_length_c 10.2743
_cell_angle_alpha 90.00
_cell_angle_beta 90.00
_cell_angle_gamma 90.00
loop_
_symmetry_equiv_pos_as_xyz
'x,y,z'
'-x,-y,-z'
'-y+1/2,x,z+1/2'
'y+1/2,-x,-z+1/2'
'-x+1/2,-y+1/2,z'
'x+1/2,y+1/2,-z'
'y,-x+1/2,z+1/2'
'-y,x+1/2,-z+1/2'
'x+1/2,-y,-z'
'-x+1/2,y,z'
'-y,-x,-z+1/2'
'y,x,z+1/2'
'-x,y+1/2,-z'
'x,-y+1/2,z'
'y+1/2,x+1/2,-z+1/2'
'-y+1/2,-x+1/2,z+1/2'
loop_
_atom_site_label
_atom_site_type_symbol
_atom_site_fract_x
_atom_site_fract_y
_atom_site_fract_z
Li1 Li 0.0068 0.2500 0.0180
Cd1 Cd 0.0255 0.2500 0.3266
Pb1 Pb 0.2500 0.7500 0.2500
```

11.
A plane-wave DFT calculation with PBE was carried out for a geometry-optimized YTi2Tc2 structure.

Total moment: 0.0 μB per cell
D(E_F): 10.48 states/eV per cell
Excess energy over the best structure of this formula in the dataset: 0.037 eV per atom
Formation enthalpy at 0 K: -0.09 eV per atom

CIF file:
```
data_YTi2Tc2
_symmetry_space_group_name_H-M 'P 4/m b m'
_symmetry_Int_Tables_number 127
_symmetry_space_group_name_Hall '-P 4 2ab'
_cell_length_a 7.6145
_cell_length_b 7.6145
_cell_length_c 3.1025
_cell_angle_alpha 90.00
_cell_angle_beta 90.00
_cell_angle_gamma 90.00
loop_
_atom_site_label
_atom_site_type_symbol
_atom_site_fract_x
_atom_site_fract_y
_atom_site_fract_z
Y1 Y 0.0000 0.0000 0.0000
Ti1 Ti 0.1397 0.3603 0.5000
Tc1 Tc 0.1486 0.6486 0.0000
```

12.
A plane-wave DFT calculation with PBE was carried out for a geometry-optimized LiMoOs3 structure.

Total moment: 0.0 μB per cell
D(E_F): 3.00 states/eV per cell
Excess energy over the best structure of this formula in the dataset: 0.000 eV per atom
Formation enthalpy at 0 K: 1.03 eV per atom

CIF file:
```
data_LiMoOs3
_symmetry_space_group_name_H-M 'P m -3 m'
_symmetry_Int_Tables_number 221
_symmetry_space_group_name_Hall '-P 4 2 3'
_cell_length_a 4.0917
_cell_length_b 4.0917
_cell_length_c 4.0917
_cell_angle_alpha 90.00
_cell_angle_beta 90.00
_cell_angle_gamma 90.00
loop_
_atom_site_label
_atom_site_type_symbol
_atom_site_fract_x
_atom_site_fract_y
_atom_site_fract_z
Li1 Li 0.0000 0.0000 0.0000
Mo1 Mo 0.5000 0.5000 0.5000
Os1 Os 0.0000 0.0000 0.5000
```